First-principles (PBE) data for MgSi after structural relaxation, as listed in the Alexandria database.

Structure (extended XYZ):
```
12
Lattice="4.997 0.000 0.000 -1.393 4.840 0.000 -0.815 -0.944 9.230" Properties=species:S:1:pos:R:3 pbc="T T T"
Mg 0.000 0.000 0.000
Mg -0.716 2.506 1.871
Mg 0.591 1.523 6.170
Mg 1.621 2.593 0.008
Mg 3.083 1.323 4.324
Mg 2.777 3.700 6.197
Si 0.412 0.363 3.244
Si 0.253 3.921 4.940
Si 1.729 -0.676 7.512
Si 2.279 0.046 1.545
Si 2.110 3.594 3.221
Si 3.213 1.310 7.753
```

Values from the calculation:
- Fermi-level density of states: 0.6 states/eV/f.u.
- Symmetry: No. 1
- DFT total energy: -3.399 eV/atom